No. 1
Computed, not measured: a relaxed structure of TbEr12Tm6 at the GGA-PBE level of DFT.

Cell: 9.177 9.177 9.177 Å, 107.65 107.65 107.65°
Sites, in units of the cell vectors:
Tb 0.000 0.000 0.000
Er 0.889 0.111 0.500
Er 0.357 0.135 0.357
Er 0.357 0.357 0.135
Er 0.865 0.643 0.643
Er 0.643 0.643 0.865
Er 0.643 0.865 0.643
Er 0.500 0.889 0.111
Er 0.111 0.500 0.889
Er 0.111 0.889 0.500
Er 0.500 0.111 0.889
Er 0.889 0.500 0.111
Er 0.135 0.357 0.357
Tm 0.686 0.272 0.686
Tm 0.686 0.686 0.272
Tm 0.272 0.686 0.686
Tm 0.314 0.314 0.728
Tm 0.314 0.728 0.314
Tm 0.728 0.314 0.314

Computed properties:
- Excess energy over the best structure of this formula in the dataset: 0.286 eV per atom
- ρ: 8.4 Mg/m³
- E: -4.09 eV per atom
- Calculated formation energy: 0.4487 eV per atom

***

No. 2
Computed, not measured: a relaxed structure of Tb5Er2Tm6 at the GGA-PBE level of DFT.

Cell: 3.527 11.472 20.063 Å, 90.00 90.00 90.00°
Sites, in units of the cell vectors:
Tb 0.500 0.301 0.450
Tb 0.500 0.699 0.550
Tb 0.500 0.801 0.050
Tb 0.500 0.199 0.950
Tb 0.500 0.586 0.272
Tb 0.500 0.414 0.728
Tb 0.500 0.086 0.228
Tb 0.500 0.914 0.772
Tb 0.500 0.500 0.000
Tb 0.500 0.000 0.500
Er 0.000 0.331 0.291
Er 0.000 0.669 0.709
Er 0.000 0.831 0.209
Er 0.000 0.169 0.791
Tm 0.000 0.082 0.369
Tm 0.000 0.918 0.631
Tm 0.000 0.582 0.131
Tm 0.000 0.418 0.869
Tm 0.500 0.326 0.137
Tm 0.500 0.674 0.863
Tm 0.500 0.826 0.363
Tm 0.500 0.174 0.637
Tm 0.000 0.560 0.418
Tm 0.000 0.440 0.582
Tm 0.000 0.060 0.082
Tm 0.000 0.940 0.918

Computed properties:
- ρ: 8.8 Mg/m³
- E: -4.45 eV per atom
- Calculated formation energy: 0.0993 eV per atom